Entry from Alexandria via LeMat-Bulk: a geometry-optimized LiInSn2 structure (GGA-PBE).

Cell lengths 3.7209, 3.7209, 7.0928 Å; angles 90.00, 90.00, 90.00 degrees
Sites, in units of the cell vectors:
In 0.5000 0.5000 0.5000
Li 0.5000 0.5000 0.0000
Sn 0.0000 0.0000 0.2263
Sn 0.0000 0.0000 0.7737

=====

Entry from Alexandria via LeMat-Bulk: a geometry-optimized Li3InSn3 structure (GGA-PBE).

Cell lengths 7.8233, 7.8233, 6.8829 Å; angles 105.78, 105.78, 112.08 degrees
Sites, in units of the cell vectors:
Sn 0.2765 0.2765 0.9414
Sn 0.5009 0.1465 0.2852
Li 0.3043 0.6957 0.0000
Li 0.6957 0.3043 0.0000
Li 0.5816 0.5816 0.3593
Sn 0.1465 0.5009 0.2852
Sn 0.7235 0.7235 0.0586
Sn 0.4991 0.8535 0.7148
Li 0.1335 0.8665 0.5000
In 0.8943 0.8943 0.7500
In 0.1057 0.1057 0.2500
Sn 0.8535 0.4991 0.7148
Li 0.4184 0.4184 0.6407
Li 0.8665 0.1335 0.5000

=====

Entry from Alexandria via LeMat-Bulk: a geometry-optimized LiIn4Sn3 structure (GGA-PBE).

Cell lengths 5.0198, 5.0189, 9.0741 Å; angles 106.68, 106.06, 90.00 degrees
Sites, in units of the cell vectors:
In 0.3802 0.3840 0.7603
In 0.8802 0.8797 0.7605
In 0.6198 0.6160 0.2397
Sn 0.2648 0.7653 0.5296
In 0.1198 0.1203 0.2395
Sn 0.0000 0.5000 0.0000
Sn 0.7352 0.2347 0.4704
Li 0.5000 0.0000 0.0000

=====

Entry from Alexandria via LeMat-Bulk: a geometry-optimized Li6In3Sn structure (GGA-PBE).

Cell lengths 4.7894, 8.1012, 10.7775 Å; angles 112.69, 90.00, 90.00 degrees
Sites, in units of the cell vectors:
Li 0.7500 0.8606 0.7686
Li 0.2500 0.4456 0.1258
Li 0.2500 0.6295 0.7283
Li 0.7500 0.5544 0.8742
In 0.7500 0.4682 0.5814
In 0.2500 0.7481 0.0219
Li 0.2500 0.1394 0.2314
Li 0.2500 0.2180 0.5269
In 0.2500 0.3349 0.8261
Li 0.7500 0.3705 0.2717
Li 0.7500 0.1494 0.6622
Sn 0.2500 0.9226 0.6360
In 0.7500 0.2519 0.9781
Sn 0.7500 0.0774 0.3640
Li 0.7500 0.7820 0.4731
Li 0.2500 0.0324 0.9238
In 0.2500 0.5318 0.4186
Li 0.7500 0.9676 0.0762
In 0.7500 0.6651 0.1739
Li 0.2500 0.8506 0.3378

=====

Entry from Alexandria via LeMat-Bulk: a geometry-optimized Li5In4Sn structure (GGA-PBE).

Cell lengths 3.4378, 3.4378, 16.6651 Å; angles 90.00, 90.00, 90.00 degrees
Sites, in units of the cell vectors:
Sn 0.0000 0.0000 0.0000
In 0.0000 0.0000 0.4034
Li 0.5000 0.5000 0.8973
Li 0.5000 0.5000 0.5000
In 0.0000 0.0000 0.5966
Li 0.5000 0.5000 0.3041
Li 0.5000 0.5000 0.1027
In 0.0000 0.0000 0.7951
In 0.0000 0.0000 0.2049
Li 0.5000 0.5000 0.6959

=====

Entry from Alexandria via LeMat-Bulk: a geometry-optimized LiIn7Sn4 structure (GGA-PBE).

Cell lengths 6.6267, 7.0896, 11.0882 Å; angles 69.41, 43.55, 63.15 degrees
Sites, in units of the cell vectors:
In 0.2391 0.5113 0.0047
In 0.7609 0.4887 0.9953
Sn 0.2544 0.7650 0.6938
Sn 0.7456 0.2350 0.3062
Sn 0.7565 0.7707 0.6794
Li 0.0000 0.0000 0.0000
In 0.5353 0.2667 0.6670
In 0.4647 0.7333 0.3330
In 0.0247 0.2648 0.6815
Sn 0.2435 0.2293 0.3206
In 0.5000 0.0000 0.0000
In 0.9753 0.7352 0.3185

=====

| no. | magnetic moment (Bohr magnetons per cell) | calculated total energy (eV/atom) |
| --- | --- | --- |
| 1 | 0.000 | -3.256 |
| 2 | 0.000 | -3.093 |
| 3 | 0.000 | -3.153 |
| 4 | 0.000 | -2.674 |
| 5 | 0.000 | -2.740 |
| 6 | 0.000 | -3.104 |